# 1
The following is a PBE calculation of a relaxed Ho12TlAu6 crystal, from the Alexandria database.

## Properties
* ρ: 9.6 g/cm³
* distance to the lowest polymorph of the same formula: 0.160 eV/atom
* energy relative to the elements: -0.39 eV per atom
* space-group type: R-3

Cell: 8.5423 8.5423 8.5423 Å, 101.48 101.48 101.48°
Closest atoms and distances in Å follow each position.
Sites, in units of the cell vectors:
Ho  0.0648  0.9189  0.3296  2 Au 2.83-2.86, 1 Tl 3.00
Ho  0.0811  0.6704  0.9352  2 Au 2.83-2.86, 1 Tl 3.00
Ho  0.1777  0.4270  0.5705  4 Au 2.93-3.08
Ho  0.3296  0.0648  0.9189  2 Au 2.83-2.86, 1 Tl 3.00
Ho  0.4270  0.5705  0.1777  4 Au 2.93-3.08
Ho  0.4295  0.8223  0.5730  4 Au 2.93-3.08
Ho  0.5705  0.1777  0.4270  4 Au 2.93-3.08
Ho  0.5730  0.4295  0.8223  4 Au 2.93-3.08
Ho  0.6704  0.9352  0.0811  2 Au 2.83-2.86, 1 Tl 3.00
Ho  0.8223  0.5730  0.4295  4 Au 2.93-3.08
Ho  0.9189  0.3296  0.0648  2 Au 2.83-2.86, 1 Tl 3.00
Ho  0.9352  0.0811  0.6704  2 Au 2.83-2.86, 1 Tl 3.00
Tl  0.0000  0.0000  0.0000  6 Ho 3.00
Au  0.1395  0.6080  0.3061  6 Ho 2.83-3.08
Au  0.3061  0.1395  0.6080  6 Ho 2.83-3.08
Au  0.3920  0.6939  0.8605  6 Ho 2.83-3.08
Au  0.6080  0.3061  0.1395  6 Ho 2.83-3.08
Au  0.6939  0.8605  0.3920  6 Ho 2.83-3.08
Au  0.8605  0.3920  0.6939  6 Ho 2.83-3.08


# 2
The following is a PBE calculation of a relaxed SmCuNi crystal, from the Alexandria database.

## Properties
* ρ: 8.5 g/cm³
* distance to the lowest polymorph of the same formula: 0.179 eV/atom
* energy relative to the elements: -0.11 eV per atom
* space-group type: I4mm

Cell: 5.2023 5.2023 5.2023 Å, 141.88 141.88 55.02°
Closest atoms and distances in Å follow each position.
Sites, in units of the cell vectors:
Sm  0.0000  0.0000  0.0000  5 Cu 2.79-3.02, 5 Ni 2.91-2.95
Cu  0.3025  0.3025  0.0000  4 Ni 2.64, 1 Sm 2.79
Ni  0.6848  0.6848  0.0000  4 Cu 2.64, 5 Sm 2.91-2.95